VASP calculation (GGA-PBE) on a relaxed TcNiRhSe2 crystal.

POSCAR file:
```
TcNiRhSe2
1.0
-0.566 1.677 4.487
4.136 -1.493 1.080
1.880 4.234 -1.346
Ni Rh Se Tc
1 1 2 1
direct
0.000 0.500 0.000
0.000 0.000 0.000
0.500 0.000 0.000
0.000 0.000 0.500
0.500 0.500 0.500
```

Values from the calculation:
V = 105.4 Å³/cell
E_form (uncorrected) = 1045.3 meV/atom